No. 1
{"formula": "LaHg2Se", "functional": "PBE", "state": "relaxed", "vol_a3_per_atom": 26.101, "n_ef_per_ev_cell": 3.42, "raw_formation_energy_mev_per_atom": -718.9, "e_tot_ev_per_atom": -2.973, "lattice": [[5.285, 0.000, 0.000], [2.643, 4.577, 0.000], [2.643, 1.526, 4.316]], "species": ["Hg", "Hg", "Se", "La"], "frac_coords": [[0.250, 0.250, 0.250], [0.000, 0.000, 0.000], [0.750, 0.750, 0.750], [0.500, 0.500, 0.500]]}

---

No. 2
{"formula": "Sm2PuTc2C4", "functional": "PBE", "state": "relaxed", "vol_a3_per_atom": 15.105, "delta_e_f_ev_per_atom": 0.029, "n_ef_per_ev_cell": 10.22, "e_tot_ev_per_atom": -9.015, "lattice": [[3.491, 0.000, 0.000], [-1.745, 6.742, 0.168], [0.000, -2.184, 5.723]], "species": ["Pu", "C", "C", "C", "C", "Tc", "Tc", "Sm", "Sm"], "frac_coords": [[0.000, 0.000, 0.000], [0.774, 0.548, 0.784], [0.464, 0.927, 0.242], [0.226, 0.452, 0.216], [0.536, 0.073, 0.758], [0.679, 0.358, 0.997], [0.321, 0.642, 0.003], [0.135, 0.269, 0.529], [0.865, 0.731, 0.471]]}

---

No. 3
{"formula": "Er3Tm3Mg", "functional": "PBE", "state": "relaxed", "vol_a3_per_atom": 31.226, "delta_e_f_ev_per_atom": 0.104, "n_ef_per_ev_cell": 22.31, "e_tot_ev_per_atom": -3.996, "polymorph_energy_ev_per_atom": 0.086, "lattice": [[-2.216, 2.343, 5.140], [-5.972, 0.890, 0.602], [-4.089, -11.547, 7.083]], "species": ["Tm", "Tm", "Tm", "Tm", "Tm", "Tm", "Mg", "Mg", "Er", "Er", "Er", "Er", "Er", "Er"], "frac_coords": [[0.800, 0.132, 0.603], [0.200, 0.868, 0.397], [0.465, 0.800, 0.603], [0.535, 0.200, 0.397], [0.132, 0.465, 0.603], [0.868, 0.535, 0.397], [0.333, 0.333, 0.000], [0.667, 0.667, 0.000], [0.728, 0.402, 0.805], [0.935, 0.272, 0.195], [0.598, 0.935, 0.195], [0.065, 0.728, 0.805], [0.272, 0.598, 0.195], [0.402, 0.065, 0.805]]}

---

No. 4
{"formula": "HfV2Ir", "functional": "PBE", "state": "relaxed", "vol_a3_per_atom": 17.215, "delta_e_f_ev_per_atom": 0.147, "n_ef_per_ev_cell": 10.26, "e_tot_ev_per_atom": -9.115, "polymorph_energy_ev_per_atom": 0.415, "lattice": [[-6.763, 0.579, 2.436], [-2.361, -3.814, -5.647], [-4.255, -3.855, -0.223]], "species": ["V", "V", "V", "V", "Ir", "Ir", "Hf", "Hf"], "frac_coords": [[0.875, 0.912, 0.750], [0.662, 0.125, 0.250], [0.375, 0.338, 0.750], [0.088, 0.625, 0.250], [0.000, 0.000, 0.000], [0.750, 0.250, 0.500], [0.500, 0.500, 0.000], [0.250, 0.750, 0.500]]}

---

No. 5
{"formula": "BaCa2V2", "functional": "PBE", "state": "relaxed", "vol_a3_per_atom": 32.372, "delta_e_f_ev_per_atom": 0.672, "n_ef_per_ev_cell": 9.51, "e_tot_ev_per_atom": -4.160, "polymorph_energy_ev_per_atom": 0.072, "lattice": [[-4.283, 3.356, -2.333], [-2.431, -4.808, -2.454], [-5.920, -1.363, 1.395]], "species": ["Ba", "V", "V", "Ca", "Ca"], "frac_coords": [[0.000, 0.000, 0.000], [0.401, 0.401, 0.197], [0.599, 0.599, 0.803], [0.250, 0.750, 0.500], [0.750, 0.250, 0.500]]}

---

No. 6
{"formula": "BeRhO2F", "functional": "PBE", "state": "relaxed", "vol_a3_per_atom": 8.611, "n_ef_per_ev_cell": 4.27, "raw_formation_energy_mev_per_atom": -941.1, "e_tot_ev_per_atom": -5.514, "lattice": [[3.734, 0.000, 0.000], [0.000, 3.734, 0.000], [0.000, 0.000, 3.087]], "species": ["Rh", "O", "O", "F", "Be"], "frac_coords": [[0.500, 0.500, 0.500], [0.500, 0.000, 0.000], [0.000, 0.500, 0.000], [0.000, 0.000, 0.500], [0.000, 0.000, 0.000]]}

---

no.,theoretical density (g cm⁻³)
1,9.85
2,9.63
3,7.85
4,11.40
5,3.28
6,6.28